(1)
The following is a PBE calculation of an optimized crystal structure of Y3HoAl8, from the Alexandria database.

Results
SG = P3m1, No. 156
E above lowest polymorph = 10 meV/atom
Fermi-level density of states = 0.4840 states/eV/atom
VASP energy = -5.010 eV per atom
Density = 4.41 g cm⁻³

a = 5.5476 Å, b = 5.5476 Å, c = 9.1384 Å
α = 90.00°, β = 90.00°, γ = 120.00°
Last column: nearest neighbours and their distance in Å.
Element x y z (fractional)
Y  0.0000  0.0000  0.0000  12 Al 3.24-3.30, 4 Y 3.34-3.44
Y  0.0000  0.0000  0.3650  12 Al 3.24-3.29, 1 Y 3.34, 3 Ho 3.43
Y  0.3333  0.6667  0.8640  12 Al 3.24-3.30, 1 Ho 3.33, 3 Y 3.44
Ho  0.3333  0.6667  0.5001  12 Al 3.23-3.29, 4 Y 3.33-3.43
Al  0.0089  0.5044  0.1826  6 Al 2.70-2.85
Al  0.3245  0.1623  0.6817  6 Al 2.70-2.85
Al  0.4956  0.5044  0.1826  6 Al 2.70-2.85
Al  0.4956  0.9911  0.1826  6 Al 2.70-2.85
Al  0.6667  0.3333  0.4325  6 Al 2.81
Al  0.6667  0.3333  0.9323  6 Al 2.82
Al  0.8377  0.1623  0.6817  6 Al 2.70-2.85
Al  0.8377  0.6755  0.6817  6 Al 2.70-2.85

---

(2)
The following is a PBE calculation of an optimized crystal structure of TaSi3Rh, from the Alexandria database.

Results
SG = Pm-3m, No. 221
E above lowest polymorph = 0 meV/atom
Fermi-level density of states = 0.7642 states/eV/atom
VASP energy = -6.204 eV per atom
E_form (uncorrected) = 0.891 eV/atom
Density = 6.58 g cm⁻³

a = 4.5297 Å, b = 4.5297 Å, c = 4.5297 Å
α = 90.00°, β = 90.00°, γ = 90.00°
Last column: nearest neighbours and their distance in Å.
Element x y z (fractional)
Ta  0.0000  0.0000  0.0000  12 Si 3.20
Si  0.0000  0.5000  0.5000  2 Rh 2.26
Si  0.5000  0.0000  0.5000  2 Rh 2.26
Si  0.5000  0.5000  0.0000  2 Rh 2.26
Rh  0.5000  0.5000  0.5000  6 Si 2.26

---

(3)
The following is a PBE calculation of an optimized crystal structure of BaHg2Br, from the Alexandria database.

Results
SG = Cm, No. 8
E above lowest polymorph = 42 meV/atom
Fermi-level density of states = 0.6590 states/eV/atom
VASP energy = -1.905 eV per atom
E_form (uncorrected) = -0.855 eV/atom
Density = 7.24 g cm⁻³

a = 5.8761 Å, b = 5.8761 Å, c = 5.9376 Å
α = 108.10°, β = 108.10°, γ = 47.31°
Last column: nearest neighbours and their distance in Å.
Element x y z (fractional)
Ba  0.0000  0.0000  0.0000  3 Br 3.25-3.28
Hg  0.2334  0.2334  0.6215  3 Hg 3.23-3.31
Hg  0.5048  0.5048  0.5023  3 Hg 3.23-3.31, 1 Br 3.57
Br  0.7239  0.7239  0.1082  3 Ba 3.25-3.28, 1 Hg 3.57

---

(4)
The following is a PBE calculation of an optimized crystal structure of LiSm2Cd5, from the Alexandria database.

Results
SG = I4/mmm, No. 139
Fermi-level density of states = 0.6952 states/eV/atom
VASP energy = -2.235 eV per atom
Density = 7.53 g cm⁻³

a = 8.5730 Å, b = 8.5730 Å, c = 8.5730 Å
α = 146.43°, β = 146.43°, γ = 48.21°
Last column: nearest neighbours and their distance in Å.
Element x y z (fractional)
Li  0.0000  0.0000  0.0000  8 Cd 3.02
Sm  0.2567  0.2567  0.0000  8 Cd 3.24-3.38, 4 Sm 3.51
Sm  0.7433  0.7433  0.0000  8 Cd 3.24-3.38, 4 Sm 3.51
Cd  0.1100  0.6100  0.5000  2 Li 3.02, 2 Cd 3.02, 4 Sm 3.24-3.38
Cd  0.3900  0.8900  0.5000  2 Cd 3.02, 2 Li 3.02, 4 Sm 3.24-3.38
Cd  0.5000  0.5000  0.0000  8 Cd 3.02
Cd  0.6100  0.1100  0.5000  2 Li 3.02, 2 Cd 3.02, 4 Sm 3.24-3.38
Cd  0.8900  0.3900  0.5000  2 Cd 3.02, 2 Li 3.02, 4 Sm 3.24-3.38

---

(5)
The following is a PBE calculation of an optimized crystal structure of Pm4AlGe8, from the Alexandria database.

Results
SG = Pmm2, No. 25
Fermi-level density of states = 0.2691 states/eV/atom
VASP energy = -5.168 eV per atom
Density = 6.79 g cm⁻³

a = 4.0525 Å, b = 4.2506 Å, c = 16.8636 Å
α = 90.00°, β = 90.00°, γ = 90.00°
Last column: nearest neighbours and their distance in Å.
Element x y z (fractional)
Pm  0.0000  0.0000  0.0000  10 Ge 3.01-3.17
Pm  0.0000  0.5000  0.4861  10 Ge 3.08-3.33
Pm  0.5000  0.0000  0.7918  10 Ge 3.17-3.54, 4 Al 3.20
Pm  0.5000  0.5000  0.2822  10 Ge 3.06-3.29
Al  0.0000  0.5000  0.7168  5 Ge 2.45-2.59
Ge  0.0000  0.0000  0.3342  2 Ge 2.61
Ge  0.0000  0.0000  0.6289  2 Al 2.59
Ge  0.0000  0.5000  0.1371  4 Ge 2.94, 4 Pm 3.14-3.18
Ge  0.0000  0.5000  0.8623  1 Al 2.45, 2 Ge 2.61
Ge  0.5000  0.0000  0.1443  4 Ge 2.94, 4 Pm 3.15-3.17
Ge  0.5000  0.0000  0.4315  2 Ge 2.61
Ge  0.5000  0.5000  0.6267  2 Al 2.53
Ge  0.5000  0.5000  0.9598  2 Ge 2.61

---

(6)
The following is a PBE calculation of an optimized crystal structure of SnBr2N, from the Alexandria database.

Results
SG = I4_1/amd, No. 141
E above lowest polymorph = 756 meV/atom
Fermi-level density of states = 0.6161 states/eV/atom
VASP energy = -2.930 eV per atom
E_form (uncorrected) = 0.988 eV/atom
Density = 4.50 g cm⁻³

a = 6.7496 Å, b = 6.7496 Å, c = 6.7496 Å
α = 120.47°, β = 120.47°, γ = 89.18°
Last column: nearest neighbours and their distance in Å.
Element x y z (fractional)
Sn  0.3750  0.6250  0.7500  12 Br 3.93-3.98, 4 Sn 4.12, 4 N 4.12
Sn  0.6250  0.3750  0.2500  12 Br 3.93-3.98, 4 Sn 4.12, 4 N 4.12
Br  0.0000  0.0000  0.0000  2 N 2.06
Br  0.0000  0.0000  0.5000  2 N 2.06
Br  0.0000  0.5000  0.0000  2 N 2.06
Br  0.5000  0.0000  0.5000  2 N 2.06
N  0.1250  0.8750  0.2500  4 Br 2.06
N  0.8750  0.1250  0.7500  4 Br 2.06